[1]
Compound: Ag2Bi2Sb
Source: the Alexandria database
Functional: PBE-GGA
Structure: optimized geometry

Structure (extended XYZ):
```
5
Lattice="-2.2883 2.2883 6.6079 2.2883 -2.2883 6.6079 2.2883 2.2883 -6.6079" Properties=species:S:1:pos:R:3 pbc="T T T"
Ag 0.0000 0.0000 1.3272
Ag 0.0000 0.0000 11.8887
Bi 2.2883 0.0000 3.3040
Bi 0.0000 2.2883 3.3040
Sb 0.0000 0.0000 6.6079
```

Properties
As for the space-group type: I4/mmm. Its uncorrected formation energy is 0.322 eV/atom. The energy above the most stable polymorph in this dataset is 164 meV per atom. Its density of states at the Fermi level is 3.8 states/eV/cell. The calculation puts the total magnetization at 0.000 μB per atom.

[2]
Compound: MgBe2Hg
Source: the Alexandria database
Functional: PBE-GGA
Structure: optimized geometry

Structure (extended XYZ):
```
8
Lattice="-3.5942 3.5942 2.6312 3.5942 -3.5942 2.6312 3.5942 3.5942 -2.6312" Properties=species:S:1:pos:R:3 pbc="T T T"
Mg 0.0000 0.0000 0.0000
Mg 0.0000 3.5942 1.3156
Be 1.7971 -1.5579 1.9734
Be 2.0363 1.7971 0.6578
Be 1.7971 5.1522 -0.6578
Be 1.5579 1.7971 3.2890
Hg 3.5942 0.0000 1.3156
Hg 0.0000 0.0000 2.6312
```

Properties
As for the space-group type: I-42d. The energy above the most stable polymorph in this dataset is 378 meV per atom. Its density of states at the Fermi level is 3.3 states/eV/cell. The calculation puts the total magnetization at 0.000 μB per atom. Its energy of formation is 0.6356 eV/atom.

[3]
Compound: Si2SbMo
Source: the Alexandria database
Functional: PBE-GGA
Structure: optimized geometry

Structure (extended XYZ):
```
4
Lattice="3.4664 0.0000 0.0000 0.0000 4.5311 0.0000 -0.5371 0.0000 4.6816" Properties=species:S:1:pos:R:3 pbc="T T T"
Si -0.0538 0.0000 1.1743
Si 2.9831 0.0000 3.5073
Sb 1.7332 2.2656 0.0000
Mo -0.2686 2.2656 2.3408
```

Properties
As for the space-group type: P2/m. Its uncorrected formation energy is 0.331 eV/atom. Its density of states at the Fermi level is 2.0 states/eV/cell. The calculation puts the total magnetization at 0.000 μB per atom.

[4]
Compound: Sc2TlRh2
Source: the Alexandria database
Functional: PBE-GGA
Structure: optimized geometry

Structure (extended XYZ):
```
5
Lattice="-1.9668 1.9668 6.8066 1.9668 -1.9668 6.8066 1.9668 1.9668 -6.8066" Properties=species:S:1:pos:R:3 pbc="T T T"
Sc 0.0000 0.0000 1.6932
Sc 0.0000 0.0000 11.9201
Tl 0.0000 0.0000 6.8066
Rh 1.9668 0.0000 3.4033
Rh 0.0000 1.9668 3.4033
```

Properties
As for the space-group type: I4/mmm. Its density of states at the Fermi level is 2.2 states/eV/cell. The calculation puts the total magnetization at 0.000 μB per atom. Its energy of formation is -0.3773 eV/atom.